Entry 1
Entry from the Alexandria database: crystalline TmScGaPt at its relaxed geometry (PBE-GGA).

a b c (Å): 3.5868 4.3229 5.6272
angles (deg): 90.00 108.58 90.00
Closest atoms and distances in Å follow each position.
Atoms (fractional coordinates):
Tm: 0.1460 0.0000 0.2920  4 Pt 2.91, 3 Ga 2.91-3.02
Sc: 0.8591 0.5000 0.7181  4 Ga 2.88, 3 Pt 2.93-3.02
Ga: 0.4187 0.0000 0.8374  2 Pt 2.74, 4 Sc 2.88, 3 Tm 2.91-3.02
Pt: 0.5762 0.5000 0.1525  2 Ga 2.74, 4 Tm 2.91, 3 Sc 2.93-3.02

=====

Entry 2
Entry from the Alexandria database: crystalline TmScGaPt at its relaxed geometry (PBE-GGA).

a b c (Å): 4.8303 4.8303 4.8303
angles (deg): 60.00 60.00 60.00
Closest atoms and distances in Å follow each position.
Atoms (fractional coordinates):
Sc: 0.5000 0.5000 0.5000  4 Ga 2.96, 4 Pt 2.96
Tm: 0.0000 0.0000 0.0000  4 Pt 2.96, 4 Ga 2.96
Ga: 0.2500 0.2500 0.2500  4 Tm 2.96, 4 Sc 2.96
Pt: 0.7500 0.7500 0.7500  4 Tm 2.96, 4 Sc 2.96

=====

entry 1 wins, 0.057 eV/atom ahead of the next structure.

=====

Entry 1
Entry from the Alexandria database: crystalline Ga2Pt2Se at its relaxed geometry (PBE-GGA).

a b c (Å): 3.8584 3.8584 6.6294
angles (deg): 73.08 73.08 90.00
Closest atoms and distances in Å follow each position.
Atoms (fractional coordinates):
Ga: 0.7500 0.2500 0.5000  4 Pt 2.51, 4 Ga 2.73
Ga: 0.2500 0.7500 0.5000  4 Pt 2.51, 4 Ga 2.73
Se: 0.0000 0.0000 0.0000  8 Pt 3.07
Pt: 0.3833 0.3833 0.2335  4 Ga 2.51
Pt: 0.6167 0.6167 0.7665  4 Ga 2.51

=====

Entry 2
Entry from the Alexandria database: crystalline Ga2Pt2Se at its relaxed geometry (PBE-GGA).

a b c (Å): 7.6454 7.6454 2.8542
angles (deg): 90.00 90.00 90.00
Closest atoms and distances in Å follow each position.
Atoms (fractional coordinates):
Ga: 0.1519 0.6519 0.5000  6 Pt 2.62-2.68, 2 Ga 2.85
Ga: 0.6519 0.8481 0.5000  6 Pt 2.62-2.68, 2 Ga 2.85
Ga: 0.8481 0.3481 0.5000  6 Pt 2.62-2.68, 2 Ga 2.85
Ga: 0.3481 0.1519 0.5000  6 Pt 2.62-2.68, 2 Ga 2.85
Se: 0.0000 0.0000 0.0000  2 Se 2.85, 4 Pt 2.93
Se: 0.5000 0.5000 0.0000  2 Se 2.85, 4 Pt 2.93
Pt: 0.3554 0.8554 0.0000  6 Ga 2.62-2.68, 2 Pt 2.85, 2 Se 2.93
Pt: 0.8554 0.6446 0.0000  6 Ga 2.62-2.68, 2 Pt 2.85, 2 Se 2.93
Pt: 0.6446 0.1446 0.0000  6 Ga 2.62-2.68, 2 Pt 2.85, 2 Se 2.93
Pt: 0.1446 0.3554 0.0000  6 Ga 2.62-2.68, 2 Pt 2.85, 2 Se 2.93

=====

entry 2 wins, 0.063 eV/atom ahead of the next structure.